{
  "formula": "SrAl2Tl2",
  "functional": "PBE-GGA",
  "state": "relaxed",
  "magnetic_moment_mub_per_fu": 0.0,
  "e_tot_ev_per_atom": -2.760,
  "relative_energy_ev_per_atom": 0.136,
  "formation_energy_ev_per_atom": 0.02,
  "spacegroup": "No. 127",
  "volume_a3_per_atom": 26.9,
  "cell": [[8.3565, 0.0000, 0.0000], [0.0000, 8.3565, 0.0000], [0.0000, 0.0000, 3.8502]],
  "species": ["Sr", "Sr", "Al", "Al", "Al", "Al", "Tl", "Tl", "Tl", "Tl"],
  "frac_coords": [[0.0000, 0.0000, 0.0000], [0.5000, 0.5000, 0.0000], [0.1151, 0.3849, 0.0000], [0.3849, 0.8849, 0.0000], [0.6151, 0.1151, 0.0000], [0.8849, 0.6151, 0.0000], [0.1752, 0.6752, 0.5000], [0.3248, 0.1752, 0.5000], [0.6752, 0.8248, 0.5000], [0.8248, 0.3248, 0.5000]]
}